First-principles (meta-GGA SCAN) data for a crystal of Hf2CuGe4 relaxed with PBEsol, as listed in Alexandria.

The structure belongs to space group Cmcm (No. 63); the cell edges are 3.7532, 32.7097 and 3.7438 Å and the angles 90.00°, 90.00° and 90.00°. The distinct sites, in fractional coordinates, are Hf at (0.0000, 0.0472, 0.2500), Hf at (0.0000, 0.3220, 0.2500), Cu at (0.0000, 0.2501, 0.7500), Ge at (0.0000, 0.1132, 0.7500), Ge at (0.0000, 0.2016, 0.2500), Ge at (0.0000, 0.3870, 0.7500) and Ge at (0.0000, 0.4722, 0.2500).

The calculation puts the total energy at -881.43 eV for the cell shown.